1.
Entry from the Alexandria database: a relaxed structure of GaNiAg2Br (GGA-PBE).

Lattice parameters (Å, degrees): 5.003 4.546 5.003 90.00 90.00 90.00
Element x y z (fractional)
Ni: 0.000 0.000 0.000
Ga: 0.000 0.500 0.000
Br: 0.500 0.500 0.500
Ag: 0.000 0.000 0.500
Ag: 0.500 0.000 0.000

Output
* E_form (uncorrected): 0.33 eV/atom

2.
Entry from the Alexandria database: a relaxed structure of HoErNiHg (GGA-PBE).

Lattice parameters (Å, degrees): 5.013 5.013 5.013 60.00 60.00 60.00
Element x y z (fractional)
Ho: 0.000 0.000 0.000
Ni: 0.250 0.250 0.250
Hg: 0.750 0.750 0.750
Er: 0.500 0.500 0.500

Output
* calculated formation energy: -375 meV/atom

3.
Entry from the Alexandria database: a relaxed structure of CaZrIr2 (GGA-PBE).

Lattice parameters (Å, degrees): 7.384 7.384 6.025 52.22 52.22 90.00
Element x y z (fractional)
Ca: 0.500 0.500 0.000
Ca: 0.250 0.750 0.500
Ir: 0.650 0.125 0.250
Ir: 0.100 0.625 0.250
Ir: 0.375 0.350 0.750
Ir: 0.875 0.900 0.750
Zr: 0.000 0.000 0.000
Zr: 0.750 0.250 0.500

Output
* calculated formation energy: -101 meV/atom

Number 1: total magnetic moment 0.000 μB/atom, DOS(E_F) 0.33 states/eV/atom. Number 2: total magnetic moment 0.000 μB/atom, DOS(E_F) 0.68 states/eV/atom. Number 3: total magnetic moment 0.000 μB/atom, DOS(E_F) 0.28 states/eV/atom.